Density functional theory data (PBE) for crystalline La2ScCr at its relaxed geometry.

Unit cell a=8.565 b=8.565 c=6.835 alpha=51.20 beta=51.20 gamma=90.00
Last column: magnetic moment on the atom in μB.
Sites, in units of the cell vectors:
Sc (0.500, 0.500, 0.000)  -0.22
Sc (0.250, 0.750, 0.500)  -0.21
Cr (0.000, 0.000, 0.000)  3.33
Cr (0.750, 0.250, 0.500)  3.32
La (0.671, 0.125, 0.250)  -0.03
La (0.079, 0.625, 0.250)  -0.03
La (0.375, 0.329, 0.750)  -0.03
La (0.875, 0.921, 0.750)  -0.04

Summary:
Energy of formation   0.54 eV per atom
Volume   232.4 Å³ per cell